DyY3Pb2: optimized geometry, PBE.

a = 9.0050 Å, b = 9.0050 Å, c = 9.0050 Å
α = 131.58°, β = 72.13°, γ = 130.04°
Fractional positions:
Dy: 0.0000 0.0000 0.0000
Dy: 0.5000 0.5000 0.0000
Y: 0.0403 0.2500 0.7903
Y: 0.2500 0.7500 0.5000
Y: 0.4597 0.2500 0.2097
Y: 0.5403 0.7500 0.7903
Y: 0.7500 0.2500 0.5000
Y: 0.9597 0.7500 0.2097
Pb: 0.1426 0.6810 0.8236
Pb: 0.3574 0.1810 0.5384
Pb: 0.6426 0.8190 0.4616
Pb: 0.8574 0.3190 0.1764

**Offset from the most stable computed form**: 26.34 kJ per mole of atoms
**DFT total energy**: -5.42 eV/atom
**Total magnetic moment**: 0.000 μB per atom

Dy3YPb2: optimized geometry, PBE.

a = 4.5680 Å, b = 4.5680 Å, c = 8.5671 Å
α = 90.00°, β = 90.00°, γ = 90.00°
Fractional positions:
Dy: 0.0000 0.0000 0.0000
Dy: 0.0000 0.5000 0.6579
Dy: 0.5000 0.0000 0.3421
Y: 0.5000 0.5000 0.0000
Pb: 0.0000 0.5000 0.2848
Pb: 0.5000 0.0000 0.7152

**Offset from the most stable computed form**: 0.00 kJ per mole of atoms
**DFT total energy**: -5.04 eV/atom
**Total magnetic moment**: 0.000 μB per atom

DyYPb: optimized geometry, PBE.

a = 3.6093 Å, b = 3.6093 Å, c = 13.8134 Å
α = 90.00°, β = 90.00°, γ = 90.00°
Fractional positions:
Dy: 0.0000 0.0000 0.0000
Dy: 0.5000 0.5000 0.5000
Y: 0.0000 0.0000 0.6813
Y: 0.5000 0.5000 0.1813
Pb: 0.0000 0.0000 0.3411
Pb: 0.5000 0.5000 0.8411

**DFT total energy**: -5.24 eV/atom
**Total magnetic moment**: 0.000 μB per atom

DyY6Pb: optimized geometry, PBE.

a = 6.3444 Å, b = 6.3444 Å, c = 6.3444 Å
α = 93.66°, β = 93.66°, γ = 93.66°
Fractional positions:
Dy: 0.0000 0.0000 0.0000
Y: 0.0343 0.5330 0.2574
Y: 0.2574 0.0343 0.5330
Y: 0.4670 0.7426 0.9657
Y: 0.5330 0.2574 0.0343
Y: 0.7426 0.9657 0.4670
Y: 0.9657 0.4670 0.7426
Pb: 0.5000 0.5000 0.5000

**DFT total energy**: -5.94 eV/atom
**Total magnetic moment**: 0.000 μB per atom

DyY3Pb2: optimized geometry, PBE.

a = 4.5731 Å, b = 4.5731 Å, c = 8.5654 Å
α = 90.00°, β = 90.00°, γ = 90.00°
Fractional positions:
Dy: 0.0000 0.0000 0.0000
Y: 0.0000 0.5000 0.3431
Y: 0.5000 0.0000 0.6569
Y: 0.5000 0.5000 0.0000
Pb: 0.0000 0.5000 0.7163
Pb: 0.5000 0.0000 0.2837

**Offset from the most stable computed form**: 0.00 kJ per mole of atoms
**DFT total energy**: -5.69 eV/atom
**Total magnetic moment**: 0.000 μB per atom

DyYPb: optimized geometry, PBE.

a = 4.3864 Å, b = 4.3286 Å, c = 10.1788 Å
α = 90.00°, β = 102.42°, γ = 90.00°
Fractional positions:
Dy: 0.2105 0.0000 0.4209
Dy: 0.7895 0.5000 0.5791
Y: 0.4035 0.0011 0.8088
Y: 0.5965 0.5011 0.1912
Pb: 0.0551 0.0012 0.1078
Pb: 0.9449 0.5012 0.8922

**DFT total energy**: -5.10 eV/atom
**Total magnetic moment**: 0.000 μB per atom

DyY5Pb4: optimized geometry, PBE.

a = 9.0332 Å, b = 9.0332 Å, c = 9.5220 Å
α = 91.75°, β = 91.75°, γ = 24.15°
Fractional positions:
Dy: 0.0000 0.0000 0.0000
Y: 0.0000 0.0000 0.5000
Y: 0.3073 0.3073 0.6175
Y: 0.3486 0.3486 0.2389
Y: 0.6514 0.6514 0.7611
Y: 0.6927 0.6927 0.3825
Pb: 0.1823 0.1823 0.0670
Pb: 0.4726 0.4726 0.7495
Pb: 0.5274 0.5274 0.2505
Pb: 0.8177 0.8177 0.9330

**DFT total energy**: -5.41 eV/atom
**Total magnetic moment**: 0.000 μB per atom

Dy3YPb4: optimized geometry, PBE.

a = 11.1636 Å, b = 6.4087 Å, c = 6.4100 Å
α = 90.00°, β = 90.00°, γ = 90.00°
Fractional positions:
Dy: 0.0000 0.0003 0.0000
Dy: 0.2499 0.2487 0.2504
Dy: 0.2501 0.7513 0.7504
Dy: 0.5000 0.9997 0.5000
Dy: 0.7501 0.2487 0.2504
Dy: 0.7499 0.7513 0.7504
Y: 0.0000 0.5006 0.5002
Y: 0.5000 0.4994 0.0002
Pb: 0.0000 0.0004 0.5000
Pb: 0.0000 0.5004 0.0002
Pb: 0.2498 0.2509 0.7504
Pb: 0.2502 0.7491 0.2504
Pb: 0.5000 0.9996 0.0000
Pb: 0.5000 0.4996 0.5002
Pb: 0.7502 0.2509 0.7504
Pb: 0.7498 0.7491 0.2504

**DFT total energy**: -4.84 eV/atom
**Total magnetic moment**: 0.000 μB per atom

Short version: ΔH_f (0 K) = -0.181, -0.423, -0.314, -0.049, -0.454, -0.176, -0.230, -0.452 eV/atom, in the order given.
Short version: Fermi-level density of states = 15.9, 4.1, 4.9, 12.4, 4.0, 7.7, 10.4, 10.3 states/eV per cell, in the order given.